Here is an optimized crystal structure of CdPt2WS from Alexandria. Energies are from PBE.

Cell lengths 4.5245, 4.5245, 4.7948 Å; angles 90.00, 90.00, 90.00 degrees
Last column: nearest neighbours and their distance in Å.
Space group P4/mmm (No. 123)
One atom of each set of equivalent atoms:
Cd 0.0000 0.0000 0.0000  2 S 2.40
Pt 0.0000 0.5000 0.5000  2 S 2.26
W 0.5000 0.5000 0.0000  4 Cd 3.20, 8 Pt 3.30
S 0.0000 0.0000 0.5000  4 Pt 2.26, 2 Cd 2.40

Properties
Its density is 12.16 g/cm3. The value obtained for the density of states at the Fermi level is 3.69 states/eV/f.u. For the raw total energy, the calculation gives -4.88 eV/atom. The total magnetization comes out at 3.36 μB/f.u. The value obtained for the volume is 98.15 Å³/cell. The value obtained for the raw formation energy is 1136 meV/atom.